# 1
VASP calculation (PBE) on a relaxed structure of FeAsPC.

Summary:
The value obtained for the calculated total energy is -52.762 eV per cell. As for the energy above the most stable polymorph in this dataset: 157.4 meV/atom. Its size of the total moment is 0.00 Bohr magnetons per cell. As for the energy of formation from the pure elements: 0.34 eV per atom. Its space group is No. 8. As for the density of states at the Fermi level: 0.105 states/eV per atom.

Cell and atoms, written as POSCAR:
```
FeAsPC
1.0
-3.763 4.110 2.467
-2.173 -2.067 0.129
4.528 -4.512 3.978
C P As Fe
2 2 2 2
Direct
0.388 0.000 0.758
0.388 0.500 0.258
0.106 0.000 0.776
0.106 0.500 0.276
0.603 0.000 0.298
0.603 0.500 0.798
0.033 0.000 0.448
0.033 0.500 0.948
```

# 2
VASP calculation (PBE) on a relaxed structure of Tb2SmEr6.

Summary:
The value obtained for the calculated total energy is -82.327 eV per cell. As for the energy above the most stable polymorph in this dataset: 0.0 meV/atom. Its size of the total moment is 0.00 Bohr magnetons per cell. As for the energy of formation from the pure elements: 0.02 eV per atom. Its space group is No. 136. As for the density of states at the Fermi level: 1.269 states/eV per atom.

Cell and atoms, written as POSCAR:
```
Tb2SmEr6
1.0
-1.741 -3.989 2.462
1.620 -5.996 -8.569
9.788 -2.185 3.380
Tb Sm Er
4 2 12
Direct
0.000 0.333 0.833
0.500 0.833 0.667
0.500 0.167 0.333
0.000 0.667 0.167
0.500 0.500 0.000
0.000 0.000 0.500
0.000 0.000 0.166
0.000 0.666 0.500
0.000 0.668 0.833
0.500 0.168 0.668
0.500 0.166 0.000
0.500 0.500 0.334
0.000 0.000 0.834
0.000 0.334 0.500
0.000 0.332 0.167
0.500 0.832 0.332
0.500 0.834 0.000
0.500 0.500 0.666
```

Among the records above, which one has the highest calculated total energy? FeAsPC

Copy entry 1 word for word.
VASP calculation (PBE) on a relaxed structure of FeAsPC.

Summary:
The value obtained for the calculated total energy is -52.762 eV per cell. As for the energy above the most stable polymorph in this dataset: 157.4 meV/atom. Its size of the total moment is 0.00 Bohr magnetons per cell. As for the energy of formation from the pure elements: 0.34 eV per atom. Its space group is No. 8. As for the density of states at the Fermi level: 0.105 states/eV per atom.

Cell and atoms, written as POSCAR:
```
FeAsPC
1.0
-3.763 4.110 2.467
-2.173 -2.067 0.129
4.528 -4.512 3.978
C P As Fe
2 2 2 2
Direct
0.388 0.000 0.758
0.388 0.500 0.258
0.106 0.000 0.776
0.106 0.500 0.276
0.603 0.000 0.298
0.603 0.500 0.798
0.033 0.000 0.448
0.033 0.500 0.948
```

Which of these has the lowest energy of formation from the pure elements? Tb2SmEr6